Entry 1:
# Nb3MoC

A geometry-optimized Nb3MoC structure (PBE-GGA, Alexandria).

Geometry as POSCAR:
```
Nb3MoC
1.0
-1.433 2.354 3.922
-3.490 -3.220 0.658
2.957 -2.658 2.677
Nb C Mo
3 1 1
direct
0.000 0.500 0.000 Nb
0.000 0.000 0.500 Nb
0.500 0.000 0.000 Nb
0.500 0.500 0.500 C
0.000 0.000 0.000 Mo
```

Computed properties:
SG ... Pm-3m
Formation enthalpy at 0 K ... 56.7 kcal/mol of atoms
Offset from the most stable computed form ... 12.09 eV/f.u.

Entry 2:
# NbMoC2

A geometry-optimized NbMoC2 structure (PBE-GGA, Alexandria).

Geometry as POSCAR:
```
NbMoC2
1.0
3.049 0.000 0.000
0.000 5.418 0.000
0.000 0.000 5.258
Mo C Nb
2 4 2
direct
0.750 0.750 0.416 Mo
0.250 0.250 0.584 Mo
0.250 0.504 0.260 C
0.250 0.996 0.260 C
0.750 0.496 0.740 C
0.750 0.004 0.740 C
0.750 0.250 0.087 Nb
0.250 0.750 0.913 Nb
```

Computed properties:
SG ... Pmmn
Formation enthalpy at 0 K ... -3.8 kcal/mol of atoms
Offset from the most stable computed form ... 0.04 eV/f.u.

Entry 3:
# Nb2MoC

A geometry-optimized Nb2MoC structure (PBE-GGA, Alexandria).

Geometry as POSCAR:
```
Nb2MoC
1.0
-1.924 -4.725 -5.530
4.843 -5.100 2.673
-0.134 -5.757 -0.152
C Mo Nb
2 2 4
direct
0.500 0.500 0.000 C
0.250 0.750 0.500 C
0.000 0.000 0.000 Mo
0.750 0.250 0.500 Mo
0.875 0.753 0.750 Nb
0.247 0.625 0.250 Nb
0.503 0.125 0.250 Nb
0.375 0.497 0.750 Nb
```

Computed properties:
SG ... I-42d
Formation enthalpy at 0 K ... 3.6 kcal/mol of atoms

Entry 4:
# NbMoC2

A geometry-optimized NbMoC2 structure (PBE-GGA, Alexandria).

Geometry as POSCAR:
```
NbMoC2
1.0
-2.115 -0.682 3.211
-3.697 -1.217 -0.319
-0.941 -3.662 0.977
C Mo Nb
2 1 1
direct
0.250 0.250 0.250 C
0.750 0.750 0.750 C
0.500 0.500 0.500 Mo
0.000 0.000 0.000 Nb
```

Computed properties:
SG ... Fm-3m
Formation enthalpy at 0 K ... 11.5 kcal/mol of atoms
Offset from the most stable computed form ... 2.71 eV/f.u.

Entry 5:
# NbMo2C

A geometry-optimized NbMo2C structure (PBE-GGA, Alexandria).

Geometry as POSCAR:
```
NbMo2C
1.0
2.995 0.000 0.000
1.497 2.594 0.000
1.497 0.865 7.703
C Mo Nb
1 2 1
direct
0.500 0.500 0.500 C
0.886 0.886 0.342 Mo
0.114 0.114 0.658 Mo
0.000 0.000 0.000 Nb
```

Computed properties:
SG ... R-3m
Formation enthalpy at 0 K ... 8.3 kcal/mol of atoms

Entry 6:
# NbMo2C

A geometry-optimized NbMo2C structure (PBE-GGA, Alexandria).

Geometry as POSCAR:
```
NbMo2C
1.0
7.177 0.000 0.000
0.000 7.177 0.000
3.589 3.589 2.283
Nb C Mo
2 2 4
direct
0.750 0.250 0.500 Nb
0.000 0.000 0.000 Nb
0.250 0.750 0.500 C
0.500 0.500 0.000 C
0.375 0.487 0.750 Mo
0.875 0.763 0.750 Mo
0.513 0.125 0.250 Mo
0.237 0.625 0.250 Mo
```

Computed properties:
SG ... I-42d
Formation enthalpy at 0 K ... 3.5 kcal/mol of atoms

Entry 7:
# NbMoC2

A geometry-optimized NbMoC2 structure (PBE-GGA, Alexandria).

Geometry as POSCAR:
```
NbMoC2
1.0
-0.114 -4.754 -0.196
1.887 -0.225 4.364
-3.531 -2.462 3.996
C Mo Nb
4 2 2
direct
0.110 0.625 0.250 C
0.875 0.890 0.750 C
0.640 0.125 0.250 C
0.375 0.360 0.750 C
0.000 0.000 0.000 Mo
0.750 0.250 0.500 Mo
0.500 0.500 0.000 Nb
0.250 0.750 0.500 Nb
```

Computed properties:
SG ... I-42d
Formation enthalpy at 0 K ... 6.6 kcal/mol of atoms
Offset from the most stable computed form ... 1.86 eV/f.u.

Entry 8:
# NbMoPtC2

A geometry-optimized NbMoPtC2 structure (PBE-GGA, Alexandria).

Geometry as POSCAR:
```
NbMoPtC2
1.0
3.983 0.000 0.000
0.000 5.270 0.000
0.000 0.000 3.983
Nb Pt C Mo
1 1 2 1
direct
0.000 0.500 0.000 Nb
0.500 0.500 0.500 Pt
0.000 0.000 0.500 C
0.500 0.000 0.000 C
0.000 0.000 0.000 Mo
```

Computed properties:
SG ... P4/mmm
Formation enthalpy at 0 K ... 39.1 kcal/mol of atoms

Entry 9:
# Nb2MoCS

A geometry-optimized Nb2MoCS structure (PBE-GGA, Alexandria).

Geometry as POSCAR:
```
Nb2MoCS
1.0
4.396 0.000 0.000
0.000 3.885 0.000
0.000 0.000 4.396
S Mo C Nb
1 1 1 2
direct
0.000 0.500 0.000 S
0.500 0.500 0.500 Mo
0.000 0.000 0.000 C
0.000 0.000 0.500 Nb
0.500 0.000 0.000 Nb
```

Computed properties:
Energy ... -8.193 eV/atom
SG ... P4/mmm

Entry 10:
# ScNb2MoC

A geometry-optimized ScNb2MoC structure (PBE-GGA, Alexandria).

Geometry as POSCAR:
```
ScNb2MoC
1.0
-1.694 -0.187 4.110
0.852 -4.046 0.168
4.011 0.915 1.695
Nb Sc C Mo
2 1 1 1
direct
0.500 0.000 0.000 Nb
0.000 0.000 0.500 Nb
0.500 0.500 0.500 Sc
0.000 0.000 0.000 C
0.000 0.500 0.000 Mo
```

Computed properties:
SG ... P4/mmm
Formation enthalpy at 0 K ... -1.8 kcal/mol of atoms

Entry 11:
# NbSn2MoC

A geometry-optimized NbSn2MoC structure (PBE-GGA, Alexandria).

Geometry as POSCAR:
```
NbSn2MoC
1.0
4.675 0.000 0.000
0.000 4.115 0.000
0.000 0.000 4.675
Nb Sn Mo C
1 2 1 1
direct
0.000 0.500 0.000 Nb
0.500 0.000 0.000 Sn
0.000 0.000 0.500 Sn
0.500 0.500 0.500 Mo
0.000 0.000 0.000 C
```

Computed properties:
SG ... P4/mmm
Formation enthalpy at 0 K ... 19.0 kcal/mol of atoms

Entry 12:
# NbTcMoC2

A geometry-optimized NbTcMoC2 structure (PBE-GGA, Alexandria).

Geometry as POSCAR:
```
NbTcMoC2
1.0
-0.187 1.713 3.640
2.189 -4.164 2.072
3.639 1.625 -0.578
Tc Mo C Nb
1 1 2 1
direct
0.500 0.500 0.500 Tc
0.000 0.500 0.000 Mo
0.500 0.000 0.000 C
0.000 0.000 0.500 C
0.000 0.000 0.000 Nb
```

Computed properties:
SG ... P4/mmm
Formation enthalpy at 0 K ... 55.3 kcal/mol of atoms

Entry 13:
# UNbMoC3

A geometry-optimized UNbMoC3 structure (PBE-GGA, Alexandria).

Geometry as POSCAR:
```
UNbMoC3
1.0
-2.731 -0.677 1.496
2.031 -4.923 1.480
2.320 4.973 6.483
Nb U C Mo
2 2 6 2
direct
0.250 0.768 0.053 Nb
0.750 0.232 0.947 Nb
0.250 0.353 0.305 U
0.750 0.647 0.695 U
0.250 0.954 0.841 C
0.250 0.740 0.490 C
0.750 0.046 0.159 C
0.750 0.260 0.510 C
0.750 0.559 0.166 C
0.250 0.441 0.834 C
0.750 0.877 0.366 Mo
0.250 0.123 0.634 Mo
```

Computed properties:
SG ... P2_1/m
Formation enthalpy at 0 K ... -8.3 kcal/mol of atoms

Entry 14:
# Zr2NbMoC4

A geometry-optimized Zr2NbMoC4 structure (PBE-GGA, Alexandria).

Geometry as POSCAR:
```
Zr2NbMoC4
1.0
-6.096 -8.031 -3.578
-6.021 -8.833 -0.437
-8.207 -6.694 -1.514
C Nb Zr Mo
4 1 2 1
direct
0.748 0.748 0.748 C
0.005 0.005 0.005 C
0.496 0.496 0.496 C
0.251 0.251 0.251 C
0.122 0.122 0.122 Nb
0.874 0.874 0.874 Zr
0.627 0.627 0.627 Zr
0.377 0.377 0.377 Mo
```

Computed properties:
SG ... R3m
Formation enthalpy at 0 K ... -10.9 kcal/mol of atoms

Entry 15:
# NdMoC2

A geometry-optimized NdMoC2 structure (PBE-GGA, Alexandria).

Geometry as POSCAR:
```
NdMoC2
1.0
-1.553 2.736 -0.985
-3.257 -0.045 -0.506
-2.477 2.378 4.995
Mo C Nd
1 2 1
direct
0.000 0.000 0.000 Mo
0.266 0.266 0.201 C
0.734 0.734 0.799 C
0.500 0.500 0.500 Nd
```

Computed properties:
SG ... R-3m
Formation enthalpy at 0 K ... 2.6 kcal/mol of atoms

Entry 16:
# Nd2MoC2

A geometry-optimized Nd2MoC2 structure (PBE-GGA, Alexandria).

Geometry as POSCAR:
```
Nd2MoC2
1.0
-4.690 3.087 -1.605
-2.073 -0.316 5.450
4.981 8.818 2.407
Mo C Nd
4 8 8
direct
0.175 0.825 0.500 Mo
0.325 0.325 0.000 Mo
0.675 0.675 0.000 Mo
0.825 0.175 0.500 Mo
0.500 0.000 0.000 C
0.500 0.500 0.145 C
0.000 0.500 0.000 C
0.500 0.500 0.855 C
0.000 0.000 0.355 C
0.500 0.000 0.500 C
0.000 0.000 0.645 C
0.000 0.500 0.500 C
0.698 0.698 0.656 Nd
0.198 0.802 0.844 Nd
0.302 0.302 0.656 Nd
0.302 0.302 0.344 Nd
0.698 0.698 0.344 Nd
0.802 0.198 0.156 Nd
0.802 0.198 0.844 Nd
0.198 0.802 0.156 Nd
```

Computed properties:
SG ... P4_2/mnm
Formation enthalpy at 0 K ... -4.4 kcal/mol of atoms
Offset from the most stable computed form ... 0.00 eV/f.u.

Entry 17:
# Nd3Mo2C4

A geometry-optimized Nd3Mo2C4 structure (PBE-GGA, Alexandria).

Geometry as POSCAR:
```
Nd3Mo2C4
1.0
5.829 -0.059 -0.042
0.193 7.331 -0.261
0.193 2.114 7.024
Mo C Nd
4 8 6
direct
0.091 0.582 0.822 Mo
0.591 0.822 0.582 Mo
0.409 0.178 0.418 Mo
0.909 0.418 0.178 Mo
0.081 0.261 0.409 C
0.581 0.409 0.261 C
0.474 0.950 0.302 C
0.419 0.591 0.739 C
0.526 0.050 0.698 C
0.919 0.739 0.591 C
0.974 0.302 0.950 C
0.026 0.698 0.050 C
0.965 0.988 0.248 Nd
0.250 0.600 0.400 Nd
0.035 0.012 0.752 Nd
0.535 0.752 0.012 Nd
0.750 0.400 0.600 Nd
0.465 0.248 0.988 Nd
```

Computed properties:
SG ... C2/c
Formation enthalpy at 0 K ... -1.0 kcal/mol of atoms

Entry 18:
# Nd2MoC2

A geometry-optimized Nd2MoC2 structure (PBE-GGA, Alexandria).

Geometry as POSCAR:
```
Nd2MoC2
1.0
-2.006 4.351 2.481
-3.480 -2.206 -4.810
-0.526 -3.596 5.880
Nd C Mo
4 4 2
direct
0.969 0.938 0.223 Nd
0.682 0.364 0.625 Nd
0.031 0.062 0.777 Nd
0.318 0.636 0.375 Nd
0.501 0.002 0.784 C
0.817 0.634 0.388 C
0.183 0.366 0.612 C
0.499 0.998 0.216 C
0.640 0.281 0.126 Mo
0.360 0.719 0.874 Mo
```

Computed properties:
SG ... C2/m
Formation enthalpy at 0 K ... -2.8 kcal/mol of atoms
Offset from the most stable computed form ... 0.34 eV/f.u.

Entry 19:
# NdMo2C2

A geometry-optimized NdMo2C2 structure (PBE-GGA, Alexandria).

Geometry as POSCAR:
```
NdMo2C2
1.0
-5.147 1.145 -2.290
-1.007 -4.329 3.646
2.241 4.658 2.732
C Mo Nd
4 4 2
direct
0.174 0.326 0.750 C
0.576 0.924 0.750 C
0.826 0.674 0.250 C
0.424 0.076 0.250 C
0.235 0.985 0.469 Mo
0.515 0.265 0.031 Mo
0.765 0.015 0.531 Mo
0.485 0.735 0.969 Mo
0.875 0.625 0.750 Nd
0.125 0.375 0.250 Nd
```

Computed properties:
SG ... Fddd
Formation enthalpy at 0 K ... -1.2 kcal/mol of atoms

Entry 20:
# NdPa2MoC4

A geometry-optimized NdPa2MoC4 structure (PBE-GGA, Alexandria).

Geometry as POSCAR:
```
NdPa2MoC4
1.0
-0.422 0.054 3.659
1.455 -5.910 -1.599
11.601 2.505 1.300
C Pa Nd Mo
8 4 2 2
direct
0.000 0.000 0.500 C
0.744 0.487 0.623 C
0.256 0.513 0.123 C
0.432 0.864 0.750 C
0.000 0.000 0.000 C
0.568 0.136 0.250 C
0.744 0.487 0.877 C
0.256 0.513 0.377 C
0.631 0.262 0.043 Pa
0.369 0.738 0.957 Pa
0.631 0.262 0.457 Pa
0.369 0.738 0.543 Pa
0.878 0.756 0.250 Nd
0.122 0.244 0.750 Nd
0.858 0.715 0.750 Mo
0.142 0.285 0.250 Mo
```

Computed properties:
SG ... Cmcm
Formation enthalpy at 0 K ... -2.8 kcal/mol of atoms

Entry 21:
# NiMo2C

A geometry-optimized NiMo2C structure (PBE-GGA, Alexandria).

Geometry as POSCAR:
```
NiMo2C
1.0
4.788 0.000 0.000
0.000 4.788 0.000
2.394 2.394 5.377
Mo C Ni
4 2 2
direct
0.875 0.809 0.750 Mo
0.375 0.441 0.750 Mo
0.559 0.125 0.250 Mo
0.191 0.625 0.250 Mo
0.250 0.750 0.500 C
0.500 0.500 0.000 C
0.000 0.000 0.000 Ni
0.750 0.250 0.500 Ni
```

Computed properties:
SG ... I-42d
Formation enthalpy at 0 K ... 19.1 kcal/mol of atoms

Entry 22:
# NiMoC2

A geometry-optimized NiMoC2 structure (PBE-GGA, Alexandria).

Geometry as POSCAR:
```
NiMoC2
1.0
0.000 2.632 2.632
2.632 0.000 2.632
2.632 2.632 0.000
C Mo Ni
2 1 1
direct
0.250 0.250 0.250 C
0.750 0.750 0.750 C
0.500 0.500 0.500 Mo
0.000 0.000 0.000 Ni
```

Computed properties:
SG ... Fm-3m
Formation enthalpy at 0 K ... 24.0 kcal/mol of atoms
Offset from the most stable computed form ... 1.58 eV/f.u.

Entry 23:
# Ni6Mo6C

A geometry-optimized Ni6Mo6C structure (PBE-GGA, Alexandria).

Geometry as POSCAR:
```
Ni6Mo6C
1.0
-1.443 7.579 -0.020
-7.219 2.550 -0.957
-3.767 3.225 5.911
Ni Mo C
12 12 2
direct
0.334 0.334 0.334 Ni
0.999 0.334 0.334 Ni
0.334 0.999 0.334 Ni
0.125 0.125 0.625 Ni
0.334 0.334 0.999 Ni
0.251 0.916 0.916 Ni
0.916 0.916 0.251 Ni
0.916 0.251 0.916 Ni
0.916 0.916 0.916 Ni
0.125 0.125 0.125 Ni
0.125 0.625 0.125 Ni
0.625 0.125 0.125 Ni
0.699 0.301 0.699 Mo
0.699 0.301 0.301 Mo
0.301 0.301 0.699 Mo
0.699 0.699 0.301 Mo
0.301 0.699 0.301 Mo
0.551 0.551 0.949 Mo
0.551 0.949 0.551 Mo
0.949 0.949 0.551 Mo
0.949 0.551 0.551 Mo
0.551 0.949 0.949 Mo
0.949 0.551 0.949 Mo
0.301 0.699 0.699 Mo
0.500 0.500 0.500 C
0.750 0.750 0.750 C
```

Computed properties:
SG ... Fd-3m
Formation enthalpy at 0 K ... -2.3 kcal/mol of atoms